# La3Ni2O7

La3Ni2O7 after structural relaxation (PBE with a Hubbard U, the Alexandria database).

Values from the calculation:
E ... -7.049 eV/atom

Cell: 10.559 10.559 5.452 Å, 90.00 90.00 30.74°
Sites, in units of the cell vectors:
La 0.056 0.583 0.750
La 0.250 0.750 0.750
La 0.417 0.944 0.750
La 0.583 0.056 0.250
La 0.750 0.250 0.250
La 0.944 0.417 0.250
Ni 0.156 0.650 0.250
Ni 0.350 0.844 0.250
Ni 0.650 0.156 0.750
Ni 0.844 0.350 0.750
O 0.013 0.397 0.750
O 0.086 0.086 0.000
O 0.086 0.086 0.500
O 0.327 0.673 0.250
O 0.388 0.388 0.000
O 0.388 0.388 0.500
O 0.397 0.013 0.250
O 0.603 0.987 0.750
O 0.612 0.612 0.000
O 0.612 0.612 0.500
O 0.673 0.327 0.750
O 0.914 0.914 0.000
O 0.914 0.914 0.500
O 0.987 0.603 0.250